Below is BaLa2TiCr2O9 after structural relaxation, with properties calculated at the GGA+U level.

Cell: 3.9603 5.6420 8.8254 Å, 108.64 90.00 90.00°
With the nearest neighbours (Å) after each atom.
Element x y z (fractional)
Ba1 0.0000 0.0000 0.0000  12 O 2.82-2.94
La1 0.0000 0.3278 0.6557  11 O 2.54-2.82
La2 0.0000 0.6722 0.3443  11 O 2.54-2.82
Ti1 0.5000 0.5000 0.0000  6 O 1.96-1.98
Cr1 0.5000 0.8337 0.6675  6 O 1.99-2.00
Cr2 0.5000 0.1663 0.3325  6 O 1.99-2.00
O1 0.0000 0.5000 0.0000  2 Ti 1.98
O2 0.5000 0.5000 0.5000  2 Cr 1.99
O3 0.5000 0.0000 0.5000  2 Cr 1.99
O4 0.0000 0.1758 0.3517  2 Cr 1.99
O5 0.0000 0.8242 0.6483  2 Cr 1.99
O6 0.5000 0.8226 0.1725  1 Ti 1.96, 1 Cr 2.00
O7 0.5000 0.1774 0.8275  1 Ti 1.96, 1 Cr 2.00
O8 0.5000 0.3499 0.1725  1 Ti 1.96, 1 Cr 2.00
O9 0.5000 0.6501 0.8275  1 Ti 1.96, 1 Cr 2.00

Computed properties:
Spin magnetization, μB per cell: 6.000
Total DFT energy (no corrections), eV/cell: -121.87
SG: Cmmm